First-principles (PBE) data for a geometry-optimized Ba2Cd2Ge structure, as listed in the Alexandria database.

abc: 12.797 4.709 13.052
angles: 90.00 116.45 90.00
Space group C2/m (No. 12)
One atom of each set of equivalent atoms:
1 Ba 0.095 0.000 0.389 [4 per cell]
2 Ba 0.199 0.500 0.133 [4 per cell]
3 Cd 0.038 0.000 0.910 [4 per cell]
4 Cd 0.120 0.500 0.620 [4 per cell]
5 Ge 0.077 0.500 0.819 [4 per cell]

Computed properties:
* total DFT energy (no corrections): -2.45 eV per atom
* ΔH_f (0 K): -0.39 eV per atom
* distance to the lowest polymorph of the same formula: 0 kJ/mol of formula units